# 1
Density functional theory data (meta-GGA SCAN) for a crystal of Zr2TeO relaxed with PBEsol.

a b c (Å): 4.633 4.633 4.633
angles (deg): 60.00 60.00 60.00
Element x y z (fractional)
Te (0.500, 0.500, 0.500)
O (0.000, 0.000, 0.000)
Zr (0.250, 0.250, 0.250)
Zr (0.750, 0.750, 0.750)

Calculated values
- theoretical density (g/cm3) = 7.70
- DFT total energy (eV per atom) = -27.1561

# 2
Density functional theory data (meta-GGA SCAN) for a crystal of ThTi2O6 relaxed with PBEsol.

a b c (Å): 3.814 5.292 6.545
angles (deg): 71.85 73.06 68.88
Element x y z (fractional)
O (0.275, 0.851, 0.598)
O (0.725, 0.149, 0.402)
O (0.655, 0.796, 0.895)
O (0.025, 0.640, 0.311)
O (0.975, 0.360, 0.689)
O (0.345, 0.204, 0.105)
Th (0.000, 0.000, 0.000)
Ti (0.823, 0.747, 0.607)
Ti (0.177, 0.253, 0.393)

Calculated values
- theoretical density (g/cm3) = 6.14
- DFT total energy (eV per atom) = -21.9831

# 3
Density functional theory data (meta-GGA SCAN) for a crystal of Ti3O relaxed with PBEsol.

a b c (Å): 5.100 5.100 9.386
angles (deg): 90.00 90.00 120.00
Element x y z (fractional)
Ti (0.328, 0.334, 0.618)
Ti (0.666, 0.994, 0.618)
Ti (0.334, 0.328, 0.118)
Ti (0.994, 0.666, 0.118)
Ti (0.672, 0.006, 0.118)
Ti (0.994, 0.328, 0.382)
Ti (0.672, 0.666, 0.382)
Ti (0.334, 0.006, 0.382)
Ti (0.006, 0.672, 0.618)
Ti (0.328, 0.994, 0.882)
Ti (0.006, 0.334, 0.882)
Ti (0.666, 0.672, 0.882)
O (0.667, 0.333, 0.250)
O (0.333, 0.667, 0.750)
O (0.000, 0.000, 0.250)
O (0.000, 0.000, 0.750)

Calculated values
- theoretical density (g/cm3) = 5.01
- DFT total energy (eV per atom) = -15.1114

# 4
Density functional theory data (meta-GGA SCAN) for a crystal of TiO2 relaxed with PBEsol.

a b c (Å): 2.951 7.349 7.349
angles (deg): 87.69 78.42 78.42
Element x y z (fractional)
Ti (0.643, 0.532, 0.183)
Ti (0.174, 0.183, 0.468)
Ti (0.826, 0.817, 0.532)
Ti (0.357, 0.468, 0.817)
O (0.836, 0.622, 0.705)
O (0.458, 0.705, 0.378)
O (0.542, 0.295, 0.622)
O (0.164, 0.378, 0.295)
O (0.156, 0.636, 0.052)
O (0.792, 0.052, 0.364)
O (0.844, 0.364, 0.948)
O (0.208, 0.948, 0.636)

Calculated values
- theoretical density (g/cm3) = 3.47
- DFT total energy (eV per atom) = -12.7535

# 5
Density functional theory data (meta-GGA SCAN) for a crystal of TiO2 relaxed with PBEsol.

a b c (Å): 5.129 5.448 9.183
angles (deg): 90.00 90.00 90.00
Element x y z (fractional)
Ti (0.862, 0.596, 0.371)
Ti (0.362, 0.404, 0.129)
Ti (0.638, 0.096, 0.629)
Ti (0.138, 0.904, 0.871)
Ti (0.138, 0.404, 0.629)
Ti (0.638, 0.596, 0.871)
Ti (0.362, 0.904, 0.371)
Ti (0.862, 0.096, 0.129)
O (0.535, 0.609, 0.270)
O (0.035, 0.391, 0.230)
O (0.965, 0.109, 0.730)
O (0.465, 0.891, 0.770)
O (0.465, 0.391, 0.730)
O (0.965, 0.609, 0.770)
O (0.035, 0.891, 0.270)
O (0.535, 0.109, 0.230)
O (0.184, 0.149, 0.010)
O (0.684, 0.851, 0.490)
O (0.316, 0.649, 0.990)
O (0.816, 0.351, 0.510)
O (0.816, 0.851, 0.990)
O (0.316, 0.149, 0.510)
O (0.684, 0.351, 0.010)
O (0.184, 0.649, 0.490)

Calculated values
- theoretical density (g/cm3) = 4.13
- DFT total energy (eV per atom) = -12.8183

# 6
Density functional theory data (meta-GGA SCAN) for a crystal of Ti3O relaxed with PBEsol.

a b c (Å): 5.097 5.097 14.104
angles (deg): 90.00 90.00 120.00
Element x y z (fractional)
Ti (0.338, 0.000, 0.745)
Ti (0.338, 0.000, 0.079)
Ti (0.333, 0.328, 0.588)
Ti (0.333, 0.005, 0.412)
Ti (0.662, 0.000, 0.921)
Ti (0.338, 0.338, 0.921)
Ti (0.662, 0.662, 0.079)
Ti (0.000, 0.662, 0.255)
Ti (0.995, 0.667, 0.588)
Ti (0.000, 0.339, 0.745)
Ti (0.661, 0.662, 0.745)
Ti (0.995, 0.328, 0.412)
Ti (0.338, 0.339, 0.255)
Ti (0.000, 0.338, 0.079)
Ti (0.000, 0.662, 0.921)
Ti (0.661, 0.000, 0.255)
Ti (0.672, 0.667, 0.412)
Ti (0.672, 0.005, 0.588)
O (0.667, 0.333, 0.833)
O (0.333, 0.667, 0.167)
O (0.333, 0.667, 0.833)
O (0.667, 0.333, 0.167)
O (0.000, 0.000, 0.500)
O (0.667, 0.333, 0.500)

Calculated values
- theoretical density (g/cm3) = 5.01
- DFT total energy (eV per atom) = -15.1068

# 7
Density functional theory data (meta-GGA SCAN) for a crystal of TiO2 relaxed with PBEsol.

a b c (Å): 3.778 3.778 5.476
angles (deg): 110.17 110.17 89.99
Element x y z (fractional)
O (0.333, 0.083, 0.665)
O (0.667, 0.917, 0.335)
O (0.917, 0.667, 0.835)
O (0.083, 0.333, 0.165)
Ti (0.125, 0.875, 0.250)
Ti (0.875, 0.125, 0.750)

Calculated values
- theoretical density (g/cm3) = 3.89
- DFT total energy (eV per atom) = -12.8220

# 8
Density functional theory data (meta-GGA SCAN) for a crystal of TiO2 relaxed with PBEsol.

a b c (Å): 2.952 10.647 17.571
angles (deg): 90.00 90.00 90.00
Element x y z (fractional)
Ti (0.250, 0.222, 0.101)
Ti (0.250, 0.278, 0.601)
Ti (0.750, 0.778, 0.899)
Ti (0.750, 0.722, 0.399)
Ti (0.750, 0.502, 0.173)
Ti (0.750, 0.998, 0.673)
Ti (0.250, 0.498, 0.827)
Ti (0.250, 0.002, 0.327)
Ti (0.750, 0.302, 0.922)
Ti (0.750, 0.198, 0.422)
Ti (0.250, 0.698, 0.078)
Ti (0.250, 0.802, 0.578)
Ti (0.750, 0.982, 0.145)
Ti (0.750, 0.518, 0.645)
Ti (0.250, 0.018, 0.855)
Ti (0.250, 0.482, 0.355)
O (0.250, 0.032, 0.082)
O (0.250, 0.468, 0.582)
O (0.750, 0.968, 0.918)
O (0.750, 0.532, 0.418)
O (0.750, 0.463, 0.278)
O (0.750, 0.037, 0.778)
O (0.250, 0.537, 0.722)
O (0.250, 0.963, 0.222)
O (0.250, 0.387, 0.142)
O (0.250, 0.113, 0.642)
O (0.750, 0.613, 0.858)
O (0.750, 0.887, 0.358)
O (0.750, 0.173, 0.163)
O (0.750, 0.327, 0.663)
O (0.250, 0.827, 0.837)
O (0.250, 0.673, 0.337)
O (0.250, 0.414, 0.934)
O (0.250, 0.086, 0.434)
O (0.750, 0.586, 0.066)
O (0.750, 0.914, 0.566)
O (0.750, 0.815, 0.109)
O (0.750, 0.685, 0.609)
O (0.250, 0.185, 0.891)
O (0.250, 0.315, 0.391)
O (0.750, 0.252, 0.026)
O (0.750, 0.248, 0.526)
O (0.250, 0.748, 0.974)
O (0.250, 0.752, 0.474)
O (0.250, 0.616, 0.182)
O (0.250, 0.884, 0.682)
O (0.750, 0.384, 0.818)
O (0.750, 0.116, 0.318)

Calculated values
- theoretical density (g/cm3) = 3.84
- DFT total energy (eV per atom) = -12.7528

What is the formula in the fifth record? TiO2

Look up the DFT total energy of the eighth one. -12.7528 eV per atom

Copy entry 4 word for word.
Density functional theory data (meta-GGA SCAN) for a crystal of TiO2 relaxed with PBEsol.

a b c (Å): 2.951 7.349 7.349
angles (deg): 87.69 78.42 78.42
Element x y z (fractional)
Ti (0.643, 0.532, 0.183)
Ti (0.174, 0.183, 0.468)
Ti (0.826, 0.817, 0.532)
Ti (0.357, 0.468, 0.817)
O (0.836, 0.622, 0.705)
O (0.458, 0.705, 0.378)
O (0.542, 0.295, 0.622)
O (0.164, 0.378, 0.295)
O (0.156, 0.636, 0.052)
O (0.792, 0.052, 0.364)
O (0.844, 0.364, 0.948)
O (0.208, 0.948, 0.636)

Calculated values
- theoretical density (g/cm3) = 3.47
- DFT total energy (eV per atom) = -12.7535